Record 1
{"formula": "Dy2VZn", "functional": "GGA-PBE", "state": "relaxed", "total_energy_ev_per_cell": -19.51, "spacegroup": "P4/mmm (123)", "de_polymorph_ev_per_fu": 0.00, "lattice": [[-2.7991, 1.6432, 1.5435], [1.0399, -1.2421, 3.2083], [3.9357, 5.7949, 0.9679]], "species": ["Zn", "V", "Dy", "Dy"], "frac_coords": [[0.5000, 0.5000, 0.5000], [0.5000, 0.5000, 0.0000], [0.0000, 0.0000, 0.7531], [0.0000, 0.0000, 0.2469]]}



Record 2
{"formula": "BaCrCl2", "functional": "GGA-PBE", "state": "relaxed", "total_energy_ev_per_cell": -18.75, "formation_energy_uncorrected_ev_per_fu": -3.51, "spacegroup": "C2/m (12)", "de_polymorph_ev_per_fu": 0.35, "lattice": [[-0.3456, -0.1746, -5.0882], [5.0904, 0.0776, -0.3493], [0.0772, -4.1091, 0.1301]], "species": ["Cr", "Ba", "Cl", "Cl"], "frac_coords": [[0.5000, 0.0000, 0.5000], [0.0000, 0.5000, 0.5000], [0.0000, 0.0000, 0.0000], [0.5000, 0.5000, 0.0000]]}



Record 3
{"formula": "ErAg2Pd7", "functional": "GGA-PBE", "state": "relaxed", "total_energy_ev_per_cell": -45.09, "spacegroup": "Cmmm (65)", "lattice": [[-3.3745, -2.7984, 0.0747], [3.4195, -4.2716, -5.5520], [0.9710, -0.9661, 7.6739]], "species": ["Er", "Ag", "Ag", "Pd", "Pd", "Pd", "Pd", "Pd", "Pd", "Pd"], "frac_coords": [[0.0000, 0.0000, 0.0000], [0.5000, 0.7027, 0.2973], [0.5000, 0.2973, 0.7027], [0.0000, 0.8100, 0.1900], [0.0000, 0.1900, 0.8100], [0.5000, 0.0820, 0.2861], [0.5000, 0.9180, 0.7139], [0.5000, 0.2861, 0.0820], [0.5000, 0.7139, 0.9180], [0.5000, 0.5000, 0.5000]]}



Record 4
{"formula": "Cu3Pd2Au4", "functional": "GGA-PBE", "state": "relaxed", "total_energy_ev_per_cell": -35.50, "spacegroup": "C2/m (12)", "lattice": [[2.7407, 0.0000, -0.7097], [-0.2014, 7.8431, -0.7778], [0.2812, 0.2827, 6.7322]], "species": ["Cu", "Cu", "Cu", "Pd", "Pd", "Au", "Au", "Au", "Au"], "frac_coords": [[0.1072, 0.4940, 0.2143], [0.8928, 0.5060, 0.7857], [0.0000, 0.0000, 0.0000], [0.6623, 0.0319, 0.3247], [0.3377, 0.9681, 0.6753], [0.5098, 0.7248, 0.0197], [0.2628, 0.3038, 0.5257], [0.4902, 0.2752, 0.9803], [0.7372, 0.6962, 0.4743]]}



Record 5
{"formula": "Dy3TmAg4S8", "functional": "GGA-PBE", "state": "relaxed", "total_energy_ev_per_cell": -83.21, "formation_energy_uncorrected_ev_per_fu": -20.50, "spacegroup": "C2/m (12)", "lattice": [[-1.5136, -7.5996, -2.0795], [2.0296, 1.5913, -7.2926], [4.8953, 1.5768, 6.1512]], "species": ["Dy", "Dy", "Dy", "Tm", "Ag", "Ag", "Ag", "Ag", "S", "S", "S", "S", "S", "S", "S", "S"], "frac_coords": [[0.5000, 0.5000, 0.0000], [0.5000, 0.5000, 0.5000], [0.0000, 0.5000, 0.5000], [0.0000, 0.5000, 0.0000], [0.5000, 0.0000, 0.0000], [0.5000, 0.0000, 0.5000], [0.0000, 0.0000, 0.0000], [0.0000, 0.0000, 0.5000], [0.2455, 0.7388, 0.9954], [0.2456, 0.7390, 0.4912], [0.2527, 0.2602, 0.5054], [0.7499, 0.7388, 0.9954], [0.2501, 0.2612, 0.0046], [0.7473, 0.7398, 0.4946], [0.7544, 0.2610, 0.5088], [0.7545, 0.2612, 0.0046]]}



Record 6
{"formula": "Be2SbRh", "functional": "GGA-PBE", "state": "relaxed", "total_energy_ev_per_cell": -18.79, "formation_energy_uncorrected_ev_per_fu": 0.14, "spacegroup": "P4/mmm (123)", "lattice": [[-0.2909, -3.8731, -0.0080], [2.3421, -0.1695, -3.0960], [2.8380, -0.2176, 2.1589]], "species": ["Sb", "Rh", "Be", "Be"], "frac_coords": [[0.0000, 0.5000, 0.5000], [0.5000, 0.0000, 0.5000], [0.0000, 0.0000, 0.0000], [0.5000, 0.5000, 0.0000]]}



The evaluated N(E_F) for the records listed, in turn: 0.9916; 0.3415; 1.3010; 0.3109; 0.0000; 0.3500 states/eV per atom.